This record from the Alexandria database describes a relaxed structure of Ag2RuBr. The functional is GGA-PBEsol.

Calculated values
energy relative to the elements, uncorrected = 0.5268 eV/atom
excess energy over the best structure of this formula in the dataset = 0.0 meV per atom

Cell lengths 6.633, 6.633, 4.395 Å; angles 109.14, 109.14, 25.44 degrees
Positions (direct):
Ag 0.000 0.000 0.000
Ag 0.139 0.139 0.637
Ru 0.695 0.695 0.193
Br 0.355 0.355 0.353

---

This record from the Alexandria database describes a relaxed structure of AlReMo4. The functional is GGA-PBEsol.

Calculated values
calculated formation energy = 0.29 eV per atom

Cell lengths 5.100, 5.100, 5.100 Å; angles 60.00, 60.00, 60.00 degrees
Positions (direct):
Al 0.000 0.000 0.000
Re 0.750 0.750 0.750
Mo 0.374 0.374 0.374
Mo 0.374 0.374 0.877
Mo 0.374 0.877 0.374
Mo 0.877 0.374 0.374

---

This record from the Alexandria database describes a relaxed structure of Ba2Pt. The functional is GGA-PBEsol.

Calculated values
calculated formation energy = 0.08 eV per atom

Cell lengths 5.411, 5.411, 3.457 Å; angles 90.00, 90.00, 120.00 degrees
Positions (direct):
Ba 0.333 0.667 0.000
Ba 0.667 0.333 0.000
Pt 0.000 0.000 0.500

---

This record from the Alexandria database describes a relaxed structure of ZrMnCr. The functional is GGA-PBEsol.

Calculated values
calculated formation energy = -0.10 eV per atom

Cell lengths 7.947, 4.971, 4.971 Å; angles 59.81, 90.00, 90.00 degrees
Positions (direct):
Zr 0.186 0.000 0.000
Zr 0.310 0.334 0.334
Zr 0.690 0.334 0.334
Zr 0.814 0.000 0.000
Mn 0.000 0.007 0.496
Mn 0.000 0.496 0.007
Mn 0.000 0.496 0.496
Mn 0.500 0.835 0.835
Cr 0.240 0.668 0.668
Cr 0.500 0.334 0.834
Cr 0.500 0.834 0.334
Cr 0.760 0.668 0.668

---

This record from the Alexandria database describes a relaxed structure of Ir2RuPt. The functional is GGA-PBEsol.

Calculated values
calculated formation energy = 0.02 eV per atom
excess energy over the best structure of this formula in the dataset = 25.6 meV per atom

Cell lengths 2.707, 3.836, 5.423 Å; angles 90.00, 90.00, 90.00 degrees
Positions (direct):
Ir 0.000 0.000 0.000
Ir 0.500 0.500 0.249
Ru 0.500 0.500 0.761
Pt 0.000 0.000 0.506

---

This record from the Alexandria database describes a relaxed structure of Ni4W. The functional is GGA-PBEsol.

Calculated values
calculated formation energy = -0.13 eV per atom

Cell lengths 4.374, 4.374, 4.374 Å; angles 99.25, 99.25, 132.73 degrees
Positions (direct):
Ni 0.099 0.301 0.401
Ni 0.301 0.901 0.202
Ni 0.699 0.099 0.798
Ni 0.901 0.699 0.599
W 0.500 0.500 0.000

---

This record from the Alexandria database describes a relaxed structure of BaCaHfCu2. The functional is GGA-PBEsol.

Calculated values
calculated formation energy = 0.74 eV per atom

Cell lengths 5.042, 5.042, 5.503 Å; angles 90.00, 90.00, 90.00 degrees
Positions (direct):
Ba 0.000 0.000 0.000
Ca 0.500 0.500 0.000
Hf 0.500 0.500 0.500
Cu 0.000 0.500 0.500
Cu 0.500 0.000 0.500

---

This record from the Alexandria database describes a relaxed structure of CaMn2ZnPb. The functional is GGA-PBEsol.

Calculated values
calculated formation energy = 0.61 eV per atom

Cell lengths 4.710, 4.710, 5.195 Å; angles 90.00, 90.00, 90.00 degrees
Positions (direct):
Ca 0.000 0.000 0.000
Mn 0.000 0.500 0.500
Mn 0.500 0.000 0.500
Zn 0.000 0.000 0.500
Pb 0.500 0.500 0.000

---

This record from the Alexandria database describes a relaxed structure of TeSe2Cl. The functional is GGA-PBEsol.

Calculated values
energy relative to the elements, uncorrected = 0.0093 eV/atom
excess energy over the best structure of this formula in the dataset = 0.0 meV per atom

Cell lengths 8.887, 8.887, 8.887 Å; angles 25.07, 25.07, 25.07 degrees
Positions (direct):
Te 0.000 0.000 0.000
Se 0.403 0.403 0.403
Se 0.597 0.597 0.597
Cl 0.500 0.500 0.500

---

This record from the Alexandria database describes a relaxed structure of LiBiO2. The functional is GGA-PBEsol.

Calculated values
energy relative to the elements, uncorrected = -1.4624 eV/atom

Cell lengths 3.438, 3.438, 9.280 Å; angles 90.00, 90.00, 90.00 degrees
Positions (direct):
Li 0.250 0.750 0.000
Li 0.750 0.250 0.000
Bi 0.250 0.250 0.318
Bi 0.750 0.750 0.682
O 0.250 0.250 0.096
O 0.250 0.250 0.671
O 0.750 0.750 0.329
O 0.750 0.750 0.904

---

This record from the Alexandria database describes a relaxed structure of TaRe2Mo. The functional is GGA-PBEsol.

Calculated values
calculated formation energy = -0.13 eV per atom
excess energy over the best structure of this formula in the dataset = 13.5 meV per atom

Cell lengths 4.437, 4.437, 4.437 Å; angles 60.00, 60.00, 60.00 degrees
Positions (direct):
Ta 0.000 0.000 0.000
Re 0.250 0.250 0.250
Re 0.750 0.750 0.750
Mo 0.500 0.500 0.500

---

This record from the Alexandria database describes a relaxed structure of K2RbMnH. The functional is GGA-PBEsol.

Calculated values
excess energy over the best structure of this formula in the dataset = 0.0 meV per atom

Cell lengths 5.509, 5.509, 5.809 Å; angles 90.00, 90.00, 90.00 degrees
Positions (direct):
K 0.000 0.500 0.000
K 0.500 0.000 0.000
Rb 0.000 0.000 0.500
Mn 0.500 0.500 0.500
H 0.000 0.000 0.000